*P*
DFT (GGA-PBE) results for a geometry-optimized LaPH2Ir structure.

Output
Symmetry: P4/mmm, No. 123
Magnetic moment: 0.00 μB per formula unit

```
data_LaPH2Ir
_chemical_formula_sum 'La1 P1 H2 Ir1'
_space_group_name_H-M_alt 'P 1'
_space_group_IT_number 1
_cell_length_a 4.029
_cell_length_b 4.625
_cell_length_c 4.029
_cell_angle_alpha 90.00
_cell_angle_beta 90.00
_cell_angle_gamma 90.00
loop_
_space_group_symop_operation_xyz
'x,y,z'
loop_
_atom_site_label
_atom_site_type_symbol
_atom_site_fract_x
_atom_site_fract_y
_atom_site_fract_z
_atom_site_occupancy
P1 P 0.000 0.000 0.000 1
Ir1 Ir 0.000 0.500 0.000 1
H1 H 0.000 0.000 0.500 1
H2 H 0.500 0.000 0.000 1
La1 La 0.500 0.500 0.500 1
```

=====

*Q*
DFT (GGA-PBE) results for a geometry-optimized LaPH2Ir structure.

Output
Symmetry: Cmcm, No. 63
Magnetic moment: 0.00 μB per formula unit

```
data_LaPH2Ir
_chemical_formula_sum 'La2 P2 H4 Ir2'
_space_group_name_H-M_alt 'P 1'
_space_group_IT_number 1
_cell_length_a 3.838
_cell_length_b 5.497
_cell_length_c 6.834
_cell_angle_alpha 90.00
_cell_angle_beta 90.00
_cell_angle_gamma 110.43
loop_
_space_group_symop_operation_xyz
'x,y,z'
loop_
_atom_site_label
_atom_site_type_symbol
_atom_site_fract_x
_atom_site_fract_y
_atom_site_fract_z
_atom_site_occupancy
La1 La 0.722 0.445 0.750 1
La2 La 0.278 0.555 0.250 1
P1 P 0.447 0.894 0.750 1
P2 P 0.553 0.106 0.250 1
H1 H 0.161 0.322 0.944 1
H2 H 0.839 0.678 0.056 1
H3 H 0.161 0.322 0.556 1
H4 H 0.839 0.678 0.444 1
Ir1 Ir 0.000 0.000 0.000 1
Ir2 Ir 0.000 0.000 0.500 1
```

=====

In order of decreasing stability: *Q*, *P*.

=====

*P*
DFT (GGA-PBE) results for a geometry-optimized La2HIrPd structure.

Output
Symmetry: P4/mmm, No. 123
Magnetic moment: 0.00 μB per formula unit

```
data_La2HIrPd
_chemical_formula_sum 'La2 H1 Ir1 Pd1'
_space_group_name_H-M_alt 'P 1'
_space_group_IT_number 1
_cell_length_a 5.133
_cell_length_b 5.133
_cell_length_c 3.746
_cell_angle_alpha 90.00
_cell_angle_beta 90.00
_cell_angle_gamma 90.00
loop_
_space_group_symop_operation_xyz
'x,y,z'
loop_
_atom_site_label
_atom_site_type_symbol
_atom_site_fract_x
_atom_site_fract_y
_atom_site_fract_z
_atom_site_occupancy
H1 H 0.000 0.000 0.000 1
Ir1 Ir 0.500 0.500 0.500 1
Pd1 Pd 0.000 0.000 0.500 1
La1 La 0.000 0.500 0.000 1
La2 La 0.500 0.000 0.000 1
```

=====

*Q*
DFT (GGA-PBE) results for a geometry-optimized La2HIrPd structure.

Output
Symmetry: P4/mmm, No. 123
Magnetic moment: 0.00 μB per formula unit

```
data_La2HIrPd
_chemical_formula_sum 'La2 H1 Ir1 Pd1'
_space_group_name_H-M_alt 'P 1'
_space_group_IT_number 1
_cell_length_a 5.227
_cell_length_b 5.227
_cell_length_c 3.653
_cell_angle_alpha 90.00
_cell_angle_beta 90.00
_cell_angle_gamma 90.00
loop_
_space_group_symop_operation_xyz
'x,y,z'
loop_
_atom_site_label
_atom_site_type_symbol
_atom_site_fract_x
_atom_site_fract_y
_atom_site_fract_z
_atom_site_occupancy
H1 H 0.000 0.000 0.000 1
Ir1 Ir 0.000 0.000 0.500 1
Pd1 Pd 0.500 0.500 0.500 1
La1 La 0.000 0.500 0.000 1
La2 La 0.500 0.000 0.000 1
```

=====

In order of decreasing stability: *Q*, *P*.

=====

*P*
DFT (GGA-PBE) results for a geometry-optimized La2HIrRh structure.

Output
Symmetry: P4/mmm, No. 123
Magnetic moment: 0.00 μB per formula unit

```
data_La2HIrRh
_chemical_formula_sum 'La2 H1 Ir1 Rh1'
_space_group_name_H-M_alt 'P 1'
_space_group_IT_number 1
_cell_length_a 5.203
_cell_length_b 5.203
_cell_length_c 3.600
_cell_angle_alpha 90.00
_cell_angle_beta 90.00
_cell_angle_gamma 90.00
loop_
_space_group_symop_operation_xyz
'x,y,z'
loop_
_atom_site_label
_atom_site_type_symbol
_atom_site_fract_x
_atom_site_fract_y
_atom_site_fract_z
_atom_site_occupancy
H1 H 0.000 0.000 0.000 1
Ir1 Ir 0.000 0.000 0.500 1
Rh1 Rh 0.500 0.500 0.500 1
La1 La 0.000 0.500 0.000 1
La2 La 0.500 0.000 0.000 1
```

=====

*Q*
DFT (GGA-PBE) results for a geometry-optimized La2HIrRh structure.

Output
Symmetry: P4/mmm, No. 123
Magnetic moment: 0.00 μB per formula unit

```
data_La2HIrRh
_chemical_formula_sum 'La2 H1 Ir1 Rh1'
_space_group_name_H-M_alt 'P 1'
_space_group_IT_number 1
_cell_length_a 5.187
_cell_length_b 5.187
_cell_length_c 3.586
_cell_angle_alpha 90.00
_cell_angle_beta 90.00
_cell_angle_gamma 90.00
loop_
_space_group_symop_operation_xyz
'x,y,z'
loop_
_atom_site_label
_atom_site_type_symbol
_atom_site_fract_x
_atom_site_fract_y
_atom_site_fract_z
_atom_site_occupancy
H1 H 0.000 0.000 0.000 1
Ir1 Ir 0.500 0.500 0.500 1
Rh1 Rh 0.000 0.000 0.500 1
La1 La 0.000 0.500 0.000 1
La2 La 0.500 0.000 0.000 1
```

=====

In order of decreasing stability: *Q*, *P*.

=====

*P*
DFT (GGA-PBE) results for a geometry-optimized La2ZnHIr structure.

Output
Symmetry: P4/mmm, No. 123
Magnetic moment: 0.00 μB per formula unit

```
data_La2ZnHIr
_chemical_formula_sum 'La2 Zn1 H1 Ir1'
_space_group_name_H-M_alt 'P 1'
_space_group_IT_number 1
_cell_length_a 5.264
_cell_length_b 5.264
_cell_length_c 3.703
_cell_angle_alpha 90.00
_cell_angle_beta 90.00
_cell_angle_gamma 90.00
loop_
_space_group_symop_operation_xyz
'x,y,z'
loop_
_atom_site_label
_atom_site_type_symbol
_atom_site_fract_x
_atom_site_fract_y
_atom_site_fract_z
_atom_site_occupancy
H1 H 0.000 0.000 0.000 1
Zn1 Zn 0.500 0.500 0.500 1
Ir1 Ir 0.000 0.000 0.500 1
La1 La 0.000 0.500 0.000 1
La2 La 0.500 0.000 0.000 1
```

=====

*Q*
DFT (GGA-PBE) results for a geometry-optimized La2ZnHIr structure.

Output
Symmetry: P4/mmm, No. 123
Magnetic moment: 0.00 μB per formula unit

```
data_La2ZnHIr
_chemical_formula_sum 'La2 Zn1 H1 Ir1'
_space_group_name_H-M_alt 'P 1'
_space_group_IT_number 1
_cell_length_a 5.020
_cell_length_b 5.020
_cell_length_c 3.901
_cell_angle_alpha 90.00
_cell_angle_beta 90.00
_cell_angle_gamma 90.00
loop_
_space_group_symop_operation_xyz
'x,y,z'
loop_
_atom_site_label
_atom_site_type_symbol
_atom_site_fract_x
_atom_site_fract_y
_atom_site_fract_z
_atom_site_occupancy
H1 H 0.000 0.000 0.000 1
Zn1 Zn 0.000 0.000 0.500 1
Ir1 Ir 0.500 0.500 0.500 1
La1 La 0.000 0.500 0.000 1
La2 La 0.500 0.000 0.000 1
```

=====

In order of decreasing stability: *P*, *Q*.

=====

*P*
DFT (GGA-PBE) results for a geometry-optimized LiH3Ir structure.

Output
Symmetry: Pm-3m, No. 221
Magnetic moment: 0.00 μB per formula unit

```
data_LiH3Ir
_chemical_formula_sum 'Li1 H3 Ir1'
_space_group_name_H-M_alt 'P 1'
_space_group_IT_number 1
_cell_length_a 3.167
_cell_length_b 3.167
_cell_length_c 3.167
_cell_angle_alpha 90.00
_cell_angle_beta 90.00
_cell_angle_gamma 90.00
loop_
_space_group_symop_operation_xyz
'x,y,z'
loop_
_atom_site_label
_atom_site_type_symbol
_atom_site_fract_x
_atom_site_fract_y
_atom_site_fract_z
_atom_site_occupancy
H1 H 0.000 0.500 0.000 1
H2 H 0.000 0.000 0.500 1
H3 H 0.500 0.000 0.000 1
Ir1 Ir 0.500 0.500 0.500 1
Li1 Li 0.000 0.000 0.000 1
```

=====

*Q*
DFT (GGA-PBE) results for a geometry-optimized LiH3Ir structure.

Output
Symmetry: C2/c, No. 15
Magnetic moment: 0.00 μB per formula unit

```
data_LiH3Ir
_chemical_formula_sum 'Li4 H12 Ir4'
_space_group_name_H-M_alt 'P 1'
_space_group_IT_number 1
_cell_length_a 5.227
_cell_length_b 5.640
_cell_length_c 5.640
_cell_angle_alpha 98.02
_cell_angle_beta 82.15
_cell_angle_gamma 82.15
loop_
_space_group_symop_operation_xyz
'x,y,z'
loop_
_atom_site_label
_atom_site_type_symbol
_atom_site_fract_x
_atom_site_fract_y
_atom_site_fract_z
_atom_site_occupancy
Li1 Li 0.250 0.959 0.041 1
Li2 Li 0.750 0.041 0.959 1
Li3 Li 0.250 0.327 0.673 1
Li4 Li 0.750 0.673 0.327 1
H1 H 0.515 0.696 0.097 1
H2 H 0.985 0.903 0.304 1
H3 H 0.485 0.304 0.903 1
H4 H 0.015 0.097 0.696 1
H5 H 0.892 0.488 0.899 1
H6 H 0.608 0.101 0.512 1
H7 H 0.108 0.512 0.101 1
H8 H 0.392 0.899 0.488 1
H9 H 0.275 0.673 0.786 1
H10 H 0.225 0.214 0.327 1
H11 H 0.725 0.327 0.214 1
H12 H 0.775 0.786 0.673 1
Ir1 Ir 0.633 0.572 0.795 1
Ir2 Ir 0.867 0.205 0.428 1
Ir3 Ir 0.367 0.428 0.205 1
Ir4 Ir 0.133 0.795 0.572 1
```

=====

In order of decreasing stability: *Q*, *P*.

=====

*P*
DFT (GGA-PBE) results for a geometry-optimized Li2HIr2 structure.

Output
Symmetry: P4/mbm, No. 127
Magnetic moment: 0.00 μB per formula unit

```
data_Li2HIr2
_chemical_formula_sum 'Li4 H2 Ir4'
_space_group_name_H-M_alt 'P 1'
_space_group_IT_number 1
_cell_length_a 5.031
_cell_length_b 5.031
_cell_length_c 4.771
_cell_angle_alpha 90.00
_cell_angle_beta 90.00
_cell_angle_gamma 90.00
loop_
_space_group_symop_operation_xyz
'x,y,z'
loop_
_atom_site_label
_atom_site_type_symbol
_atom_site_fract_x
_atom_site_fract_y
_atom_site_fract_z
_atom_site_occupancy
H1 H 0.000 0.000 0.000 1
H2 H 0.500 0.500 0.000 1
Ir1 Ir 0.179 0.679 0.500 1
Ir2 Ir 0.679 0.821 0.500 1
Ir3 Ir 0.821 0.321 0.500 1
Ir4 Ir 0.321 0.179 0.500 1
Li1 Li 0.327 0.827 0.000 1
Li2 Li 0.827 0.673 0.000 1
Li3 Li 0.673 0.173 0.000 1
Li4 Li 0.173 0.327 0.000 1
```

=====

*Q*
DFT (GGA-PBE) results for a geometry-optimized Li2HIr2 structure.

Output
Symmetry: I4/mmm, No. 139
Magnetic moment: 0.00 μB per formula unit

```
data_Li2HIr2
_chemical_formula_sum 'Li2 H1 Ir2'
_space_group_name_H-M_alt 'P 1'
_space_group_IT_number 1
_cell_length_a 3.474
_cell_length_b 3.474
_cell_length_c 7.665
_cell_angle_alpha 76.90
_cell_angle_beta 76.90
_cell_angle_gamma 90.00
loop_
_space_group_symop_operation_xyz
'x,y,z'
loop_
_atom_site_label
_atom_site_type_symbol
_atom_site_fract_x
_atom_site_fract_y
_atom_site_fract_z
_atom_site_occupancy
H1 H 0.000 0.000 0.000 1
Ir1 Ir 0.750 0.250 0.500 1
Ir2 Ir 0.250 0.750 0.500 1
Li1 Li 0.405 0.405 0.190 1
Li2 Li 0.595 0.595 0.810 1
```

=====

In order of decreasing stability: *P*, *Q*.